The following is a DFT calculation (PBE) of a relaxed CaSiMo2 crystal.

a = 5.493 Å, b = 5.493 Å, c = 2.739 Å
α = 80.01°, β = 80.01°, γ = 118.13°
Fractional coordinates of all 4 atoms:
Mo (0.000, 0.000, 0.000)
Mo (0.500, 0.500, 0.000)
Ca (0.000, 0.500, 0.500)
Si (0.500, 0.000, 0.500)

Formation energy (no corrections) = 2.0 eV/f.u.

The following is a DFT calculation (PBE) of a relaxed Cr3P crystal.

a = 4.938 Å, b = 4.938 Å, c = 4.290 Å
α = 90.00°, β = 90.00°, γ = 120.00°
Fractional coordinates of all 8 atoms:
Cr (0.664, 0.832, 0.750)
Cr (0.336, 0.168, 0.250)
Cr (0.832, 0.664, 0.250)
Cr (0.168, 0.336, 0.750)
Cr (0.168, 0.832, 0.750)
Cr (0.832, 0.168, 0.250)
P (0.333, 0.667, 0.250)
P (0.667, 0.333, 0.750)

Energy above the lowest structure with this stoichiometry = 208.9 meV per atom

The following is a DFT calculation (PBE) of a relaxed TlZn2BiBr8 crystal.

a = 6.848 Å, b = 6.848 Å, c = 10.924 Å
α = 71.73°, β = 71.73°, γ = 60.00°
Fractional coordinates of all 12 atoms:
Br (0.707, 0.070, 0.832)
Br (0.827, 0.827, 0.518)
Br (0.173, 0.173, 0.482)
Br (0.293, 0.930, 0.168)
Br (0.070, 0.391, 0.832)
Br (0.609, 0.293, 0.168)
Br (0.930, 0.609, 0.168)
Br (0.391, 0.707, 0.832)
Zn (0.750, 0.750, 0.750)
Zn (0.250, 0.250, 0.250)
Tl (0.500, 0.500, 0.500)
Bi (0.000, 0.000, 0.000)

Formation energy (no corrections) = -9.4 eV/f.u.

The following is a DFT calculation (PBE) of a relaxed MnAg2Ir crystal.

a = 4.930 Å, b = 4.930 Å, c = 2.877 Å
α = 90.00°, β = 90.00°, γ = 112.51°
Fractional coordinates of all 4 atoms:
Mn (0.000, 0.500, 0.500)
Ir (0.500, 0.000, 0.500)
Ag (0.000, 0.000, 0.000)
Ag (0.500, 0.500, 0.000)

Energy above the lowest structure with this stoichiometry = 205.2 meV per atom

Fermi-level density of states / states/eV per cell: 3.57 5.50 0.00 2.99
Size of the total moment / μB per cell: 0.000 0.000 0.000 4.624